A geometry-optimized CoPdS2O structure, computed with PBE with a Hubbard U.

Properties
Calculated total energy   -0.3085 Ry per atom

abc: 4.5786 3.6092 4.5786
angles: 90.00 90.00 90.00
With the nearest neighbours (Å) after each atom.
Element x y z (fractional)
S (0.0000, 0.0000, 0.5000)  2 O 2.29
S (0.5000, 0.0000, 0.0000)  2 O 2.29
Co (0.0000, 0.5000, 0.0000)  2 O 1.80
O (0.0000, 0.0000, 0.0000)  2 Co 1.80
Pd (0.5000, 0.5000, 0.5000)  8 S 2.92, 4 Co 3.24